Pa2NiRh, optimized geometry, DFT PBE; mass density = 13.331 g cm⁻³; crystal system = tetragonal; E_tot = -33.60 eV/cell
1.0
3.4364 0.0000 0.0000
0.0000 3.4364 0.0000
0.0000 0.0000 6.5785
Ni Pa Rh
1 2 1
direct
0.5000 0.5000 0.0000
0.0000 0.0000 0.7684
0.0000 0.0000 0.2316
0.5000 0.5000 0.5000

---

PaNi4Rh, optimized geometry, DFT PBE; mass density = 11.529 g cm⁻³; crystal system = cubic; E_tot = -42.53 eV/cell
1.0
4.8748 0.0000 0.0000
2.4374 4.2217 0.0000
2.4374 1.4072 3.9803
Ni Pa Rh
4 1 1
direct
0.6259 0.6259 0.1224
0.6259 0.1224 0.6259
0.6259 0.6259 0.6259
0.1224 0.6259 0.6259
0.2500 0.2500 0.2500
0.0000 0.0000 0.0000

---

Pa2NiRh, optimized geometry, DFT PBE; mass density = 13.570 g cm⁻³; crystal system = tetragonal; E_tot = -33.52 eV/cell
1.0
-3.8085 -0.6590 1.1358
1.3543 -0.8494 4.0482
-0.4227 4.2090 1.0246
Ni Pa Rh
1 2 1
direct
0.5000 0.0000 0.0000
0.0000 0.0000 0.5000
0.0000 0.5000 0.0000
0.5000 0.5000 0.5000

---

Pa4Ni3Rh, optimized geometry, DFT PBE; mass density = 12.965 g cm⁻³; crystal system = orthorhombic; E_tot = -66.08 eV/cell
1.0
3.5444 0.0000 0.0000
0.0000 3.7155 0.0000
0.0000 0.0000 11.7008
Ni Pa Rh
3 4 1
direct
0.0000 0.5000 0.5727
0.0000 0.0000 0.4312
0.5000 0.0000 0.9161
0.5000 0.5000 0.3544
0.0000 0.5000 0.8402
0.0000 0.0000 0.1633
0.5000 0.0000 0.6478
0.5000 0.5000 0.0744

---

Pa4NiRh, optimized geometry, DFT PBE; mass density = 14.026 g cm⁻³; crystal system = tetragonal; E_tot = -106.19 eV/cell
1.0
5.5558 0.0000 0.0000
0.0000 6.8023 0.0000
0.0000 0.0000 6.8023
Pa Ni Rh
8 2 2
direct
0.0000 0.1559 0.6492
0.0000 0.8441 0.3508
0.0000 0.3508 0.1559
0.0000 0.6492 0.8441
0.5000 0.8441 0.6492
0.5000 0.1559 0.3508
0.5000 0.6492 0.1559
0.5000 0.3508 0.8441
0.2500 0.5000 0.5000
0.7500 0.5000 0.5000
0.2500 0.0000 0.0000
0.7500 0.0000 0.0000

---

PaNiRh, optimized geometry, DFT PBE; mass density = 12.092 g cm⁻³; crystal system = hexagonal; E_tot = -23.89 eV/cell
1.0
-3.0096 0.3701 1.4984
-1.2626 -3.7739 -1.6036
1.9272 0.1668 3.8296
Ni Pa Rh
1 1 1
direct
0.1668 0.6667 0.3333
0.6665 0.3333 0.6667
0.1667 0.0000 0.0000

---

Pa2NiRh, optimized geometry, DFT PBE; mass density = 13.112 g cm⁻³; crystal system = trigonal; E_tot = -31.72 eV/cell
1.0
-2.1489 -2.1828 0.1091
0.5266 -2.7344 -1.2806
3.1510 -4.8545 7.9934
Ni Pa Rh
1 2 1
direct
0.0000 0.0000 0.0000
0.0859 0.0859 0.7423
0.9141 0.9141 0.2577
0.5000 0.5000 0.5000

---

Pa2NiRh, optimized geometry, DFT PBE; mass density = 13.066 g cm⁻³; crystal system = monoclinic; E_tot = -68.36 eV/cell
1.0
3.6826 0.0000 0.0000
0.0000 6.2832 0.4636
0.0000 -2.5315 6.6644
Pa Ni Rh
4 2 2
direct
0.7500 0.1859 0.4211
0.2500 0.8141 0.5789
0.2500 0.8152 0.0783
0.7500 0.1848 0.9217
0.2500 0.3339 0.2085
0.7500 0.6661 0.7915
0.7500 0.6425 0.2858
0.2500 0.3575 0.7142

---

PaNiRh, optimized geometry, DFT PBE; mass density = 12.657 g cm⁻³; crystal system = hexagonal; E_tot = -48.83 eV/cell
1.0
-3.0086 -1.2307 -3.2601
-0.9031 -0.8939 4.4249
-2.5582 4.9746 0.4828
Pa Ni Rh
2 2 2
direct
0.6665 0.8335 0.7500
0.3335 0.1665 0.2500
0.3333 0.1667 0.7500
0.6667 0.8333 0.2500
0.0000 0.5000 0.5000
0.0000 0.5000 0.0000

---

Pa2Ni2Rh, optimized geometry, DFT PBE; mass density = 12.573 g cm⁻³; crystal system = tetragonal; E_tot = -162.07 eV/cell
1.0
-5.0373 3.8854 -3.1739
-2.2145 -5.7578 -3.5338
-4.5161 -1.5200 5.3066
Pa Ni Rh
8 8 4
direct
0.6796 0.8203 0.5000
0.3204 0.1797 0.5000
0.8204 0.3203 0.0000
0.1796 0.6797 0.0000
0.8203 0.3204 0.5000
0.1797 0.6796 0.5000
0.3203 0.1796 0.0000
0.6797 0.8204 0.0000
0.3757 0.8757 0.2500
0.6243 0.1243 0.2500
0.1243 0.3757 0.7500
0.8757 0.6243 0.7500
0.8757 0.6243 0.2500
0.1243 0.3757 0.2500
0.3757 0.8757 0.7500
0.6243 0.1243 0.7500
0.5000 0.5000 0.2489
0.0000 0.0000 0.7489
0.5000 0.5000 0.7511
0.0000 0.0000 0.2511

---

PaNiRuRh, optimized geometry, DFT PBE; mass density = 12.827 g cm⁻³; crystal system = orthorhombic; E_tot = -34.33 eV/cell
1.0
-3.0489 2.4088 -0.2173
-2.2328 -2.6428 2.0308
1.1321 1.7508 3.5232
Pa Ni Ru Rh
1 1 1 1
direct
0.5000 0.5000 0.0000
0.5000 0.0000 0.5000
0.0000 0.0000 0.0000
0.0000 0.5000 0.5000

---

Pa2NiRhS5, optimized geometry, DFT PBE; mass density = 7.817 g cm⁻³; crystal system = orthorhombic; E_tot = -126.34 eV/cell
1.0
3.7751 0.0000 0.0000
-1.8876 8.1777 0.0000
0.0000 0.0000 10.7895
Pa Ni Rh S
4 2 2 10
direct
0.8870 0.7741 0.8254
0.1211 0.2422 0.6947
0.1130 0.2259 0.3254
0.8789 0.7578 0.1947
0.5672 0.1344 0.9348
0.4328 0.8656 0.4348
0.8605 0.7210 0.5820
0.1395 0.2790 0.0820
0.3419 0.6838 0.0068
0.6912 0.3825 0.8426
0.5022 0.0044 0.7521
0.2989 0.5977 0.6727
0.9952 0.9904 0.5129
0.6581 0.3162 0.5068
0.3088 0.6175 0.3426
0.4978 0.9956 0.2521
0.7011 0.4023 0.1727
0.0048 0.0096 0.0129

---

Number 1: M_tot 0.00 μB per formula unit. Number 2: M_tot 0.00 μB per formula unit. Number 3: M_tot 0.00 μB per formula unit. Number 4: M_tot 0.00 μB per formula unit. Number 5: M_tot 0.00 μB per formula unit. Number 6: M_tot 0.00 μB per formula unit. Number 7: M_tot 0.00 μB per formula unit. Number 8: M_tot 0.00 μB per formula unit. Number 9: M_tot 0.00 μB per formula unit. Number 10: M_tot 0.00 μB per formula unit. Number 11: M_tot 0.19 μB per formula unit. Number 12: M_tot 0.00 μB per formula unit.